Record 1
Compound: HoHO2
Source: the Alexandria database
Functional: PBEsol
Structure: optimized geometry

The structure in POSCAR format:
```
HoHO2
1.0
3.447 0.000 0.000
0.000 4.771 0.000
0.000 0.000 5.380
O H Ho
4 2 2
Cartesian
0.000 4.681 1.910
1.723 0.090 4.600
1.723 2.281 0.639
0.000 2.490 3.329
0.000 3.833 2.503
1.723 0.938 5.193
0.000 3.458 5.293
1.723 1.313 2.603
```

Results
- Space group: No. 31
- V: 11.06 Å³/atom
- E: -7.378 eV per atom

Record 2
Compound: Ba2MnTe
Source: the Alexandria database
Functional: PBEsol
Structure: optimized geometry

The structure in POSCAR format:
```
Ba2MnTe
1.0
-2.401 3.117 -1.527
-4.635 -3.259 0.635
-0.711 2.039 5.278
Ba Mn Te
2 1 1
Cartesian
-2.760 -0.360 3.605
-0.090 0.259 0.671
-1.647 2.840 2.553
-3.604 0.177 0.196
```

Results
- Space group: No. 25
- V: 34.30 Å³/atom
- Formation energy from raw total energies: -0.28 eV per atom
- E: -4.680 eV per atom

Record 3
Compound: ScSnPd
Source: the Alexandria database
Functional: PBEsol
Structure: optimized geometry

The structure in POSCAR format:
```
ScSnPd
1.0
7.069 0.000 0.000
0.000 7.448 0.000
0.000 -3.724 6.450
Pd Sc Sn
6 6 6
Cartesian
3.774 3.724 2.150
6.829 3.724 2.150
1.767 0.000 0.000
5.302 0.000 0.000
0.240 0.000 4.300
3.294 0.000 4.300
1.767 5.896 2.484
5.302 2.172 3.966
5.302 -0.797 6.348
1.767 2.927 0.101
5.302 -1.376 2.586
1.767 2.348 3.864
0.000 1.029 1.782
3.534 5.390 0.000
0.000 5.390 0.000
0.000 -2.695 4.668
3.534 1.029 1.782
3.534 -2.695 4.668
```

Results
- Space group: No. 190
- V: 18.86 Å³/atom
- ΔE_f: -0.90 eV/atom
- E: -6.511 eV per atom

Record 4
Compound: La2ScCuPt
Source: the Alexandria database
Functional: PBEsol
Structure: optimized geometry

The structure in POSCAR format:
```
La2ScCuPt
1.0
-3.010 3.465 1.497
-3.848 -3.775 0.999
1.888 -0.571 5.116
La Sc Cu Pt
2 1 1 1
Cartesian
0.944 -0.285 2.558
-1.924 -1.887 0.500
-2.485 -0.440 3.806
-1.505 1.733 0.749
0.000 0.000 0.000
```

Results
- Space group: No. 123
- V: 29.02 Å³/atom
- ΔE_f: 0.05 eV/atom
- E: -5.674 eV per atom

Record 5
Compound: Rb3CrF6
Source: the Alexandria database
Functional: PBEsol
Structure: optimized geometry

The structure in POSCAR format:
```
Rb3CrF6
1.0
6.863 0.111 -0.076
-1.681 6.655 -0.084
-1.469 -1.911 6.428
Rb F Cr
3 6 1
Cartesian
-0.841 3.327 -0.042
-0.735 -0.955 3.214
3.432 0.055 -0.038
-0.478 5.934 1.234
-2.140 3.769 5.028
5.853 1.086 1.239
4.033 5.266 0.210
-0.320 -0.412 6.058
4.191 -1.080 5.034
0.000 0.000 0.000
```

Results
- Space group: No. 166
- V: 29.27 Å³/atom
- Formation energy from raw total energies: -2.73 eV per atom
- E: -5.217 eV per atom

Record 6
Compound: Y3TlF10
Source: the Alexandria database
Functional: PBEsol
Structure: optimized geometry

The structure in POSCAR format:
```
Y3TlF10
1.0
8.153 0.000 0.000
-4.077 7.061 0.000
0.000 0.000 13.317
F Y Tl
40 12 4
Cartesian
2.679 4.691 8.587
2.723 4.666 1.929
1.358 5.491 6.361
5.430 4.666 1.929
2.719 1.570 13.019
4.077 2.354 7.427
1.325 7.036 8.587
-1.354 2.395 8.587
0.000 1.556 4.094
4.077 5.505 10.753
1.354 2.395 8.587
5.914 1.293 5.999
5.434 1.570 13.019
-2.679 4.691 8.587
0.000 4.707 0.768
0.000 4.707 9.675
6.756 2.370 1.929
0.000 6.775 11.187
-1.790 3.674 11.187
6.806 0.778 10.753
-2.729 6.283 4.094
1.837 5.768 12.658
2.240 1.293 5.999
4.077 4.475 5.999
5.867 3.387 4.529
4.077 2.354 3.016
0.000 2.586 12.658
2.286 3.387 4.529
1.790 3.674 11.187
1.398 2.370 1.929
5.402 0.025 1.929
-1.358 5.491 6.361
4.077 0.286 4.529
-1.325 7.036 8.587
2.729 6.283 4.094
2.751 0.025 1.929
-1.837 5.768 12.658
4.077 3.921 13.019
0.000 3.140 6.361
1.348 0.778 10.753
6.027 1.227 3.651
6.046 3.491 6.850
4.077 0.080 6.850
1.969 3.571 0.192
-1.969 3.571 0.192
-1.951 5.834 10.310
0.000 2.455 10.310
2.126 1.227 3.651
4.077 4.606 3.651
1.951 5.834 10.310
2.108 3.491 6.850
0.000 6.981 0.192
0.000 4.707 3.565
0.000 0.000 0.293
4.077 2.354 10.224
0.000 0.000 6.951
```

Results
- Space group: No. 186
- V: 13.69 Å³/atom
- Formation energy from raw total energies: -3.84 eV per atom
- E: -6.871 eV per atom

Record 7
Compound: Hf2TcAuC
Source: the Alexandria database
Functional: PBEsol
Structure: optimized geometry

The structure in POSCAR format:
```
Hf2TcAuC
1.0
-2.953 0.458 -2.129
-0.919 -5.069 0.184
-2.919 0.681 4.195
Au Hf Tc C
1 2 1 1
Cartesian
0.000 0.000 0.000
-0.460 -2.535 0.092
-1.459 0.341 2.097
-3.395 -1.965 1.125
-1.476 0.229 -1.064
```

Results
- Space group: No. 123
- V: 19.50 Å³/atom
- ΔE_f: 1.47 eV/atom
- E: -7.702 eV per atom

Record 8
Compound: TlFeAg2
Source: the Alexandria database
Functional: PBEsol
Structure: optimized geometry

The structure in POSCAR format:
```
TlFeAg2
1.0
-1.238 -3.935 -1.989
2.659 -1.871 -3.225
2.320 -3.846 0.893
Ag Fe Tl
2 1 1
Cartesian
2.806 -7.239 -3.240
0.000 0.000 0.000
1.871 -4.826 -2.160
0.935 -2.413 -1.080
```

Results
- Space group: No. 216
- V: 16.98 Å³/atom
- ΔE_f: 0.42 eV/atom
- E: -4.137 eV per atom

Record 9
Compound: TmZrOs2
Source: the Alexandria database
Functional: PBEsol
Structure: optimized geometry

The structure in POSCAR format:
```
TmZrOs2
1.0
4.629 0.000 0.000
2.315 4.009 0.000
2.315 1.336 3.780
Tm Os Zr
1 2 1
Cartesian
4.629 2.673 1.890
6.944 4.009 2.835
2.315 1.336 0.945
0.000 0.000 0.000
```

Results
- Space group: No. 225
- V: 17.54 Å³/atom
- ΔE_f: -0.36 eV/atom
- E: -9.970 eV per atom

Record 10
Compound: ZnCr2Si
Source: the Alexandria database
Functional: PBEsol
Structure: optimized geometry

The structure in POSCAR format:
```
ZnCr2Si
1.0
-0.270 -1.840 -2.215
2.718 -2.562 1.797
-3.106 -1.914 1.968
Si Cr Zn
1 2 1
Cartesian
-0.329 -3.158 0.775
-1.553 -0.957 0.984
1.359 -1.281 0.899
-0.135 -0.920 -1.108
```

Results
- Space group: No. 123
- V: 12.43 Å³/atom
- Formation energy from raw total energies: 0.12 eV per atom
- E: -6.836 eV per atom

Record 11
Compound: Ca8Mg5Fe2Si16O48
Source: the Alexandria database
Functional: PBEsol
Structure: optimized geometry

The structure in POSCAR format:
```
Ca8Mg5Fe2Si16O48
1.0
-3.489 -2.101 6.382
4.849 -4.213 4.008
5.593 12.727 8.324
O Si Ca Mg Fe
48 16 8 5 2
Cartesian
5.543 6.048 14.566
6.266 7.549 12.372
5.652 1.126 8.409
7.636 6.713 10.229
2.362 -3.517 8.685
5.952 9.585 9.642
4.597 -1.637 6.982
1.949 2.920 5.101
2.388 2.963 11.943
2.882 -2.595 11.084
2.845 2.000 9.011
5.078 6.831 10.076
3.711 4.514 9.817
3.297 5.254 5.384
-0.449 -1.101 5.728
4.256 8.310 13.882
6.492 3.972 8.827
8.440 9.523 10.589
3.204 5.808 12.354
4.299 3.349 7.031
7.660 6.578 16.372
3.396 9.704 9.627
0.723 5.904 11.371
4.740 8.839 7.440
3.775 -4.443 6.627
1.264 0.301 10.476
2.554 6.905 9.132
4.580 3.601 13.734
5.185 2.423 10.963
4.413 0.967 13.115
3.833 0.102 10.683
4.902 -2.744 4.537
2.044 8.239 11.731
6.092 4.948 11.739
0.943 -2.268 3.740
1.485 4.229 7.649
-0.998 -0.330 8.665
2.139 -1.504 5.929
9.569 7.253 12.036
1.620 -0.755 1.680
1.172 0.425 4.217
0.632 1.394 7.248
-0.773 2.282 9.337
4.456 5.973 7.651
3.474 0.803 6.231
0.409 -2.494 9.984
6.800 8.481 14.749
2.711 -0.630 8.401
2.592 0.521 9.609
1.889 6.711 12.257
2.108 4.424 4.537
4.639 9.983 8.669
4.558 4.827 6.436
3.879 6.013 9.243
3.295 -0.688 6.825
5.020 0.922 11.532
7.103 10.439 10.463
0.883 -1.030 4.884
6.322 6.426 11.131
2.435 -4.681 7.516
1.690 -3.412 10.223
-0.701 1.161 8.099
5.638 7.552 13.953
4.314 2.123 14.329
3.273 5.391 14.624
7.382 3.197 10.848
-0.261 2.019 5.213
1.505 3.706 9.919
4.244 9.150 11.788
2.806 -3.696 4.590
5.654 1.675 6.134
0.212 -2.105 7.638
3.051 1.314 4.244
6.539 4.432 13.719
4.122 4.061 11.782
4.764 2.880 8.991
2.375 2.468 7.063
0.609 0.834 2.268
5.910 5.688 16.570
```

Results
- Space group: No. 5
- V: 11.17 Å³/atom
- Formation energy from raw total energies: -2.83 eV per atom
- E: -7.734 eV per atom

Record 12
Compound: Cd2Rh
Source: the Alexandria database
Functional: PBEsol
Structure: optimized geometry

The structure in POSCAR format:
```
Cd2Rh
1.0
3.034 0.000 0.000
0.000 3.848 0.000
-1.517 -1.924 4.370
Cd Rh
2 1
Cartesian
0.000 0.000 1.399
1.517 1.924 2.971
1.517 1.924 0.000
```

Results
- Space group: No. 71
- V: 17.01 Å³/atom
- ΔE_f: -0.06 eV/atom
- E: -3.570 eV per atom

Record 13
Compound: KTaSe2
Source: the Alexandria database
Functional: PBEsol
Structure: optimized geometry

The structure in POSCAR format:
```
KTaSe2
1.0
4.015 0.000 0.000
0.000 4.015 0.000
-2.008 -2.008 5.251
Se K Ta
2 1 1
Cartesian
0.000 0.000 0.000
2.008 0.000 2.626
0.000 2.008 2.626
2.008 2.008 0.000
```

Results
- Space group: No. 119
- V: 21.17 Å³/atom
- Formation energy from raw total energies: 0.34 eV per atom
- E: -5.006 eV per atom

Record 14
Compound: BeInCu2
Source: the Alexandria database
Functional: PBEsol
Structure: optimized geometry

The structure in POSCAR format:
```
BeInCu2
1.0
3.694 0.000 0.000
0.000 3.753 0.000
0.000 0.000 3.753
In Cu Be
1 2 1
Cartesian
1.847 1.877 1.877
0.000 1.877 0.000
0.000 0.000 1.877
1.847 0.000 0.000
```

Results
- Space group: No. 123
- V: 13.01 Å³/atom
- Offset from the most stable computed form: 0.0 meV/atom
- ΔE_f: 0.14 eV/atom
- E: -3.772 eV per atom

Record 15
Compound: Be4HgOs
Source: the Alexandria database
Functional: PBEsol
Structure: optimized geometry

The structure in POSCAR format:
```
Be4HgOs
1.0
4.487 0.000 0.000
2.243 3.886 0.000
2.243 1.295 3.663
Be Hg Os
4 1 1
Cartesian
4.487 2.590 3.232
4.487 3.911 1.365
3.343 1.930 1.365
5.630 1.930 1.365
6.730 3.886 2.748
0.000 0.000 0.000
```

Results
- Space group: No. 216
- V: 10.64 Å³/atom
- ΔE_f: 0.13 eV/atom
- E: -4.669 eV per atom

Record 16
Compound: K2LaP
Source: the Alexandria database
Functional: PBEsol
Structure: optimized geometry

The structure in POSCAR format:
```
K2LaP
1.0
4.416 0.003 0.000
-0.135 4.414 0.000
-2.140 -2.208 6.649
K P La
2 1 1
Cartesian
1.138 -1.103 3.325
-1.138 1.103 3.325
2.140 2.208 0.000
0.000 0.000 0.000
```

Results
- Space group: No. 69
- V: 32.40 Å³/atom
- ΔE_f: -0.04 eV/atom
- E: -3.390 eV per atom

Record 17
Compound: Zr5Pb
Source: the Alexandria database
Functional: PBEsol
Structure: optimized geometry

The structure in POSCAR format:
```
Zr5Pb
1.0
-0.736 -1.314 -4.059
4.298 -0.089 -0.751
2.382 -6.738 1.750
Zr Pb
5 1
Cartesian
2.304 -4.482 1.034
4.085 -5.186 -1.370
4.377 -2.345 -0.035
1.859 -2.954 -1.689
-0.368 -0.657 -2.029
2.149 -0.044 -0.375
```

Results
- Space group: No. 65
- V: 22.12 Å³/atom
- ΔE_f: -0.14 eV/atom
- E: -8.377 eV per atom

Record 18
Compound: NaOsRh3
Source: the Alexandria database
Functional: PBEsol
Structure: optimized geometry

The structure in POSCAR format:
```
NaOsRh3
1.0
4.260 0.000 0.000
0.000 4.260 0.000
0.000 0.000 4.260
Rh Na Os
3 1 1
Cartesian
0.000 2.130 0.000
2.130 0.000 0.000
0.000 0.000 2.130
0.000 0.000 0.000
2.130 2.130 2.130
```

Results
- Space group: No. 221
- V: 15.46 Å³/atom
- ΔE_f: 2.26 eV/atom
- E: -5.344 eV per atom

Record 19
Compound: CsSiNO2
Source: the Alexandria database
Functional: PBEsol
Structure: optimized geometry

The structure in POSCAR format:
```
CsSiNO2
1.0
4.289 0.000 0.000
0.000 4.289 0.000
0.000 0.000 4.450
N O Cs Si
1 2 1 1
Cartesian
0.000 0.000 2.225
0.000 2.144 0.000
2.144 0.000 0.000
0.000 0.000 0.000
2.144 2.144 2.225
```

Results
- Space group: No. 123
- V: 16.37 Å³/atom
- Formation energy from raw total energies: 1.59 eV per atom
- E: -3.553 eV per atom

Record 20
Compound: ZnPOs
Source: the Alexandria database
Functional: PBEsol
Structure: optimized geometry

The structure in POSCAR format:
```
ZnPOs
1.0
-3.605 1.553 -0.168
-3.078 -2.272 -0.897
-2.654 -0.892 2.757
Zn P Os
1 1 1
Cartesian
0.000 0.000 0.000
-2.334 -0.403 0.423
-4.669 -0.805 0.846
```

Results
- Space group: No. 216
- V: 14.30 Å³/atom
- ΔE_f: 0.20 eV/atom
- E: -6.327 eV per atom

Record 21
Compound: FeBN3
Source: the Alexandria database
Functional: PBEsol
Structure: optimized geometry

The structure in POSCAR format:
```
FeBN3
1.0
3.316 0.000 0.000
0.000 3.316 0.000
0.000 0.000 3.316
Fe N B
1 3 1
Cartesian
1.658 1.658 1.658
0.000 0.000 1.658
1.658 0.000 0.000
0.000 1.658 0.000
0.000 0.000 0.000
```

Results
- Space group: No. 221
- V: 7.29 Å³/atom
- Formation energy from raw total energies: 1.25 eV per atom
- E: -7.064 eV per atom